(1)
Material: SiRu4
Method: DFT, PBE
State: relaxed

a = 4.315 Å, b = 4.315 Å, c = 4.315 Å
α = 90.00°, β = 90.00°, γ = 90.00°
Fractional coordinates of all 5 atoms:
Si  0.000  0.000  0.000
Ru  0.000  0.000  0.500
Ru  0.000  0.500  0.000
Ru  0.500  0.000  0.000
Ru  0.500  0.500  0.500

(2)
Material: Si2Ru
Method: DFT, PBE
State: relaxed

a = 4.092 Å, b = 4.092 Å, c = 5.609 Å
α = 90.00°, β = 90.00°, γ = 120.00°
Fractional coordinates of all 6 atoms:
Si  0.333  0.667  0.019
Si  0.333  0.667  0.481
Si  0.667  0.333  0.519
Si  0.667  0.333  0.981
Ru  0.000  0.000  0.250
Ru  0.000  0.000  0.750

(3)
Material: Si3Ru
Method: DFT, PBE
State: relaxed

a = 5.994 Å, b = 6.626 Å, c = 6.093 Å
α = 90.00°, β = 90.00°, γ = 90.00°
Fractional coordinates of all 16 atoms:
Si  0.081  0.250  0.120
Si  0.147  0.576  0.353
Si  0.147  0.924  0.353
Si  0.353  0.076  0.853
Si  0.353  0.424  0.853
Si  0.419  0.750  0.620
Si  0.581  0.250  0.380
Si  0.647  0.576  0.147
Si  0.647  0.924  0.147
Si  0.853  0.076  0.647
Si  0.853  0.424  0.647
Si  0.919  0.750  0.880
Ru  0.208  0.250  0.511
Ru  0.292  0.750  0.011
Ru  0.708  0.250  0.989
Ru  0.792  0.750  0.489

(4)
Material: Si3Ru
Method: DFT, PBE
State: relaxed

a = 2.851 Å, b = 2.851 Å, c = 6.908 Å
α = 90.00°, β = 90.00°, γ = 90.00°
Fractional coordinates of all 4 atoms:
Si  0.000  0.000  0.000
Si  0.500  0.500  0.281
Si  0.500  0.500  0.719
Ru  0.000  0.000  0.500

(5)
Material: SiRu5
Method: DFT, PBE
State: relaxed

a = 4.263 Å, b = 7.127 Å, c = 7.127 Å
α = 22.30°, β = 90.00°, γ = 90.00°
Fractional coordinates of all 6 atoms:
Si  0.000  0.000  0.000
Ru  0.000  0.336  0.336
Ru  0.000  0.669  0.669
Ru  0.500  0.113  0.113
Ru  0.500  0.450  0.450
Ru  0.500  0.782  0.782

(6)
Material: Si3Ru
Method: DFT, PBE
State: relaxed

a = 4.809 Å, b = 4.809 Å, c = 4.809 Å
α = 144.51°, β = 78.28°, γ = 112.89°
Fractional coordinates of all 4 atoms:
Si  0.000  0.000  0.000
Si  0.455  0.646  0.809
Si  0.837  0.646  0.191
Ru  0.357  0.857  0.500

(7)
Material: SiRu3
Method: DFT, PBE
State: relaxed

a = 8.411 Å, b = 8.411 Å, c = 8.411 Å
α = 18.87°, β = 18.87°, γ = 18.87°
Fractional coordinates of all 4 atoms:
Si  0.000  0.000  0.000
Ru  0.255  0.255  0.255
Ru  0.500  0.500  0.500
Ru  0.745  0.745  0.745

(8)
Material: Si2Ru
Method: DFT, PBE
State: relaxed

a = 2.884 Å, b = 2.884 Å, c = 5.253 Å
α = 90.00°, β = 90.00°, γ = 90.00°
Fractional coordinates of all 3 atoms:
Si  0.000  0.000  0.221
Si  0.000  0.000  0.779
Ru  0.500  0.500  0.500

Per-record E_form (uncorrected), eV/atom: 0.984, 0.230, -0.172, -0.027, -0.049, -0.166, -0.081, -0.416
Per-record N(E_F), states/eV per cell: 8.180, 3.674, 5.779, 0.637, 5.652, 1.419, 5.531, 0.913
Per-record volume, Å³ per atom: 16.1, 13.6, 15.1, 14.0, 13.7, 14.5, 13.6, 14.6